Entry 1:
{"formula": "LiHo2TmSe5", "functional": "PBE-GGA", "state": "optimized geometry", "lattice_angstrom": [[2.0134, -8.4301, 0.0000], [2.0134, 8.4301, 0.0000], [0.0000, 0.0000, 12.3283]], "species": ["Li", "Li", "Ho", "Ho", "Ho", "Ho", "Tm", "Tm", "Se", "Se", "Se", "Se", "Se", "Se", "Se", "Se", "Se", "Se"], "fractional_positions": [[0.0127, 0.9873, 0.5000], [0.9873, 0.0127, 0.0000], [0.3743, 0.6257, 0.3102], [0.3930, 0.6070, 0.7032], [0.6070, 0.3930, 0.2032], [0.6257, 0.3743, 0.8102], [0.3041, 0.6959, 0.0208], [0.6959, 0.3041, 0.5208], [0.9997, 0.0003, 0.3039], [0.0003, 0.9997, 0.8039], [0.1381, 0.8619, 0.0203], [0.1933, 0.8067, 0.3605], [0.2157, 0.7843, 0.6814], [0.4536, 0.5464, 0.0945], [0.5464, 0.4536, 0.5945], [0.7843, 0.2157, 0.1814], [0.8067, 0.1933, 0.8605], [0.8619, 0.1381, 0.5203]], "total_energy_ev_per_atom": -5.335, "mass_density_g_cm3": 7.15}



Entry 2:
{"formula": "LiHo2TmSe4", "functional": "PBE-GGA", "state": "optimized geometry", "lattice_angstrom": [[6.9576, 0.0000, 0.0000], [0.0000, 4.0073, 0.0000], [-2.2964, 0.0000, 6.5777]], "species": ["Li", "Ho", "Ho", "Tm", "Se", "Se", "Se", "Se"], "fractional_positions": [[0.0000, 0.0000, 0.0000], [0.0000, 0.5000, 0.5000], [0.5000, 0.0000, 0.5000], [0.5000, 0.5000, 0.0000], [0.2439, 0.5000, 0.2416], [0.2468, 0.0000, 0.7578], [0.7532, 0.0000, 0.2422], [0.7561, 0.5000, 0.7584]], "total_energy_ev_per_atom": -5.403, "n_ef_per_ev_cell": 2.612, "mass_density_g_cm3": 7.44}